Entry from Alexandria: a crystal of CoHgOs3 relaxed with PBEsol (meta-GGA SCAN).

## Properties
N(E_F) in states/eV/f.u.: 5.38
Formation energy from the elements in eV/atom: 3.63

extended XYZ file:
```
5
Lattice="4.809 0.000 0.000 0.000 4.809 0.000 0.000 0.000 4.809" Properties=species:S:1:pos:R:3 pbc="T T T"
Hg 0.000 0.000 0.000
Os 0.000 2.405 0.000
Os 2.405 0.000 0.000
Co 2.405 2.405 2.405
Os 0.000 0.000 2.405
```

---

Entry from Alexandria: a crystal of CoHgOs2 relaxed with PBEsol (meta-GGA SCAN).

## Properties
N(E_F) in states/eV/f.u.: 3.11
Formation energy from the elements in eV/atom: 0.67

extended XYZ file:
```
4
Lattice="-1.456 0.451 2.309 1.901 -4.228 0.368 3.623 2.656 1.765" Properties=species:S:1:pos:R:3 pbc="T T T"
Os 3.354 0.059 2.103
Os 3.860 -1.190 4.324
Co 1.161 1.526 2.091
Hg 0.844 -1.083 2.401
```

---

Entry from Alexandria: a crystal of CoHgOs2 relaxed with PBEsol (meta-GGA SCAN).

## Properties
N(E_F) in states/eV/f.u.: 4.33
Formation energy from the elements in eV/atom: 0.84

extended XYZ file:
```
4
Lattice="-0.313 2.045 -1.868 -3.507 1.631 2.375 2.908 2.684 2.451" Properties=species:S:1:pos:R:3 pbc="T T T"
Os 0.000 0.000 0.000
Co 1.297 2.365 0.292
Hg -0.300 2.158 2.413
Os -1.910 1.838 0.254
```

---

Entry from Alexandria: a crystal of Co2HgP relaxed with PBEsol (meta-GGA SCAN).

## Properties
N(E_F) in states/eV/f.u.: 2.89
Formation energy from the elements in eV/atom: 0.08

extended XYZ file:
```
4
Lattice="2.777 0.000 0.000 0.000 3.100 0.000 -1.389 -1.550 6.368" Properties=species:S:1:pos:R:3 pbc="T T T"
Co 1.389 1.550 5.234
P 1.389 0.000 3.791
Hg 1.389 1.550 0.683
Co 0.000 1.550 3.027
```

---

Entry from Alexandria: a crystal of Co4HgP relaxed with PBEsol (meta-GGA SCAN).

## Properties
N(E_F) in states/eV/f.u.: 6.09
Formation energy from the elements in eV/atom: 0.51

extended XYZ file:
```
6
Lattice="-4.042 2.255 1.156 -4.023 -0.940 -2.386 -3.537 -2.387 2.134" Properties=species:S:1:pos:R:3 pbc="T T T"
Co -6.364 -0.874 -0.860
Co -6.120 -1.600 1.411
Hg -8.701 -0.804 0.678
Co -4.344 -0.401 0.338
P 0.000 0.000 0.000
Co -6.374 0.732 0.919
```

---

Entry from Alexandria: a crystal of CoHg2P relaxed with PBEsol (meta-GGA SCAN).

## Properties
N(E_F) in states/eV/f.u.: 1.09
Formation energy from the elements in eV/atom: 0.61

extended XYZ file:
```
4
Lattice="-0.373 -0.640 3.872 -2.012 -3.308 -0.740 4.852 -0.249 -1.581" Properties=species:S:1:pos:R:3 pbc="T T T"
Hg 1.832 -1.112 -0.007
P -0.186 -0.320 1.936
Hg 0.636 -3.084 1.559
Co -1.006 -1.654 -0.370
```

---

Entry from Alexandria: a crystal of CoHg2P relaxed with PBEsol (meta-GGA SCAN).

## Properties
N(E_F) in states/eV/f.u.: 1.16
Formation energy from the elements in eV/atom: 0.60

extended XYZ file:
```
4
Lattice="-0.386 -3.356 -2.174 2.378 1.569 -2.843 3.320 -1.606 1.890" Properties=species:S:1:pos:R:3 pbc="T T T"
Hg 0.000 0.000 0.000
P 1.467 -2.481 -0.142
Co 2.849 -0.019 -0.477
Hg 0.996 -0.894 -2.509
```

---

Entry from Alexandria: a crystal of TlCoHgP2 relaxed with PBEsol (meta-GGA SCAN).

## Properties
N(E_F) in states/eV/f.u.: 3.50
Formation energy from the elements in eV/atom: 1.15

extended XYZ file:
```
5
Lattice="-2.941 3.704 -1.177 -2.007 -0.161 4.510 3.389 3.206 1.622" Properties=species:S:1:pos:R:3 pbc="T T T"
P 1.694 1.603 0.811
P -1.004 -0.080 2.255
Tl -0.780 3.375 2.478
Hg 0.000 0.000 0.000
Co -1.471 1.852 -0.589
```

---

Entry from Alexandria: a crystal of CoHgPb relaxed with PBEsol (meta-GGA SCAN).

## Properties
N(E_F) in states/eV/f.u.: 1.10
Formation energy from the elements in eV/atom: 0.42

extended XYZ file:
```
3
Lattice="-2.764 -2.697 2.130 1.552 -2.804 3.030 -0.874 0.663 4.272" Properties=species:S:1:pos:R:3 pbc="T T T"
Co -1.565 -3.628 7.074
Hg 0.000 0.000 0.000
Pb -1.043 -2.419 4.716
```

---

Entry from Alexandria: a crystal of Co3HgPb relaxed with PBEsol (meta-GGA SCAN).

## Properties
N(E_F) in states/eV/f.u.: 2.94
Formation energy from the elements in eV/atom: 1.45

extended XYZ file:
```
5
Lattice="4.721 0.000 0.000 0.000 4.721 0.000 0.000 0.000 4.721" Properties=species:S:1:pos:R:3 pbc="T T T"
Hg 2.361 2.361 2.361
Pb 0.000 0.000 0.000
Co 2.361 0.000 0.000
Co 0.000 2.361 0.000
Co 0.000 0.000 2.361
```

---

Entry from Alexandria: a crystal of CoHg2Pt relaxed with PBEsol (meta-GGA SCAN).

## Properties
N(E_F) in states/eV/f.u.: 1.63
Formation energy from the elements in eV/atom: 0.25

extended XYZ file:
```
4
Lattice="2.882 0.000 -0.021 0.000 4.352 0.000 -1.438 0.000 5.305" Properties=species:S:1:pos:R:3 pbc="T T T"
Co -0.176 2.176 4.009
Pt -0.179 0.000 2.636
Hg 1.256 2.176 1.515
Hg 1.270 0.000 5.060
```

---

Entry from Alexandria: a crystal of CoHg3Pt relaxed with PBEsol (meta-GGA SCAN).

## Properties
N(E_F) in states/eV/f.u.: 3.79
Formation energy from the elements in eV/atom: 0.74

extended XYZ file:
```
5
Lattice="-3.546 -2.258 2.928 -1.341 -2.996 -3.933 3.445 -3.489 1.483" Properties=species:S:1:pos:R:3 pbc="T T T"
Hg 1.723 -1.744 0.741
Pt 0.000 0.000 0.000
Co -0.720 -4.371 0.239
Hg -1.773 -1.129 1.464
Hg -0.670 -1.498 -1.967
```